Version a
This record from OQMD describes Ag2O after structural relaxation. The functional is PBE.

Computed properties:
Space group: P4_2/mnm (136)

Cell lengths 5.5838, 5.5838, 3.0936 Å; angles 90.00, 90.00, 90.00 degrees
With the nearest neighbours (Å) after each atom.
Fractional coordinates of all 6 atoms:
Ag (0.2782, 0.2782, 0.0000)  3 O 2.20-2.34
Ag (0.7218, 0.7218, 0.0000)  3 O 2.20-2.34
Ag (0.7782, 0.2218, 0.5000)  3 O 2.20-2.34
Ag (0.2218, 0.7782, 0.5000)  3 O 2.20-2.34
O (0.0000, 0.0000, 0.0000)  6 Ag 2.20-2.34
O (0.5000, 0.5000, 0.5000)  6 Ag 2.20-2.34


Version b
This record from OQMD describes Ag2O after structural relaxation. The functional is PBE.

Computed properties:
Space group: P2_1/m (11)

Cell lengths 3.6779, 7.3174, 3.7007 Å; angles 90.00, 104.78, 90.00 degrees
With the nearest neighbours (Å) after each atom.
Fractional coordinates of all 6 atoms:
Ag (0.5000, 0.0000, 0.0000)  2 O 2.13
Ag (0.5000, 0.5000, 0.0000)  2 O 2.13
Ag (0.1030, 0.7500, 0.3985)  3 O 2.31-2.42
Ag (0.8970, 0.2500, 0.6015)  3 O 2.31-2.42
O (0.3108, 0.2500, 0.1862)  4 Ag 2.13-2.31
O (0.6892, 0.7500, 0.8138)  4 Ag 2.13-2.31


On energetic grounds, version b is preferred over the next structure by 59 meV per atom.


Version a
This record from OQMD describes AgPOsO after structural relaxation. The functional is PBE.

Computed properties:
Total magnetization, μB/cell: 0.0
Space group: Pmc2_1 (26)

Cell lengths 2.9351, 7.0108, 5.6579 Å; angles 90.00, 90.00, 90.00 degrees
With the nearest neighbours (Å) after each atom.
Fractional coordinates of all 8 atoms:
Ag (0.0000, 0.0314, 0.3755)  2 O 2.34, 1 P 2.40
Ag (0.0000, 0.9686, 0.8755)  2 O 2.34, 1 P 2.40
O (0.5000, 0.2909, 0.3757)  2 Os 2.04
O (0.5000, 0.7091, 0.8757)  2 Os 2.04
Os (0.5000, 0.5000, 0.1254)  2 O 2.04
Os (0.5000, 0.5000, 0.6254)  2 O 2.04
P (0.0000, 0.6894, 0.3774)  1 Ag 2.40, 4 Os 2.43-2.44
P (0.0000, 0.3106, 0.8774)  1 Ag 2.40, 4 Os 2.43-2.44


Version b
This record from OQMD describes AgPOsO after structural relaxation. The functional is PBE.

Computed properties:
Total magnetization, μB/cell: 0.0
Space group: P4/nmm (129)

Cell lengths 4.1087, 4.1087, 7.5234 Å; angles 90.00, 90.00, 90.00 degrees
With the nearest neighbours (Å) after each atom.
Fractional coordinates of all 8 atoms:
Ag (0.0000, 0.5000, 0.0851)  4 O 2.15
Ag (0.5000, 0.0000, 0.9149)  4 O 2.15
O (0.0000, 0.0000, 0.0000)  4 Ag 2.15
O (0.5000, 0.5000, 0.0000)  4 Ag 2.15
Os (0.0000, 0.0000, 0.5000)  4 P 2.33
Os (0.5000, 0.5000, 0.5000)  4 P 2.33
P (0.5000, 0.0000, 0.3546)  4 Os 2.33
P (0.0000, 0.5000, 0.6454)  4 Os 2.33


Version c
This record from OQMD describes AgPOsO after structural relaxation. The functional is PBE.

Computed properties:
Total magnetization, μB/cell: 0.0
Space group: P4/nmm (129)

Cell lengths 3.5208, 3.5208, 8.9115 Å; angles 90.00, 90.00, 90.00 degrees
With the nearest neighbours (Å) after each atom.
Fractional coordinates of all 8 atoms:
Ag (0.0000, 0.0000, 0.5000)  4 Ag 2.49
Ag (0.5000, 0.5000, 0.5000)  4 Ag 2.49
O (0.0000, 0.0000, 0.0000)  4 Os 2.19
O (0.5000, 0.5000, 0.0000)  4 Os 2.19
Os (0.0000, 0.5000, 0.1455)  4 O 2.19
Os (0.5000, 0.0000, 0.8545)  4 O 2.19
P (0.5000, 0.0000, 0.2568)  4 Os 2.68, 4 Ag 2.79, 4 O 2.89
P (0.0000, 0.5000, 0.7432)  4 Os 2.68, 4 Ag 2.79, 4 O 2.89


Version d
This record from OQMD describes AgPOsO after structural relaxation. The functional is PBE.

Computed properties:
Total magnetization, μB/cell: 0.0
Space group: Pmc2_1 (26)

Cell lengths 3.7897, 6.0945, 5.8180 Å; angles 90.00, 90.00, 90.00 degrees
With the nearest neighbours (Å) after each atom.
Fractional coordinates of all 8 atoms:
Ag (0.5000, 0.3427, 0.0104)  2 O 2.41-2.48, 2 P 2.50
Ag (0.5000, 0.6573, 0.5104)  2 O 2.41-2.48, 2 P 2.50
O (0.5000, 0.2689, 0.4289)  2 Os 1.94
O (0.5000, 0.7311, 0.9289)  2 Os 1.94
Os (0.0000, 0.2158, 0.4723)  2 O 1.94
Os (0.0000, 0.7842, 0.9723)  2 O 1.94
P (0.0000, 0.8706, 0.3424)  2 Os 2.22-2.24
P (0.0000, 0.1294, 0.8424)  2 Os 2.22-2.24


On energetic grounds, version a is preferred over the next structure by 208 meV per atom.